Entry 1:
Here is a relaxed structure of ZnSnPb2Cl from Alexandria. Energies are from GGA-PBE.

## Properties
Total DFT energy (no corrections) = -2.770 eV/atom
Space-group type = P4/mmm
M_tot = 0.00 μB per cell
E_form (uncorrected) = 0.138 eV/atom

Unit cell a=5.527 b=4.805 c=5.527 alpha=90.00 beta=90.00 gamma=90.00
Positions (direct):
Pb: 0.000 0.000 0.500
Pb: 0.500 0.000 0.000
Zn: 0.000 0.000 0.000
Sn: 0.500 0.500 0.500
Cl: 0.000 0.500 0.000

***

Entry 2:
Here is a relaxed structure of Rb2HoNpSe4 from Alexandria. Energies are from GGA-PBE.

## Properties
Total DFT energy (no corrections) = -5.648 eV/atom
Space-group type = P2/m
M_tot = 4.00 μB per cell
E_form (uncorrected) = -1.474 eV/atom

Unit cell a=4.269 b=7.418 c=8.355 alpha=107.20 beta=90.00 gamma=90.00
Positions (direct):
Rb: 0.500 0.000 0.500
Rb: 0.000 0.500 0.500
Ho: 0.500 0.500 0.000
Np: 0.000 0.000 0.000
Se: 0.500 0.236 0.195
Se: 0.500 0.764 0.805
Se: 0.000 0.273 0.805
Se: 0.000 0.727 0.195

***

Entry 3:
Here is a relaxed structure of SrZrTe2 from Alexandria. Energies are from GGA-PBE.

## Properties
Total DFT energy (no corrections) = -4.956 eV/atom
Space-group type = Cm
M_tot = 1.45 μB per cell
Polymorph energy (0 for the lowest one) = 247.4 meV per atom
E_form (uncorrected) = -0.827 eV/atom

Unit cell a=6.116 b=6.116 c=5.217 alpha=90.01 beta=90.01 gamma=37.19
Positions (direct):
Sr: 0.263 0.263 0.125
Te: 0.993 0.993 0.124
Te: 0.761 0.761 0.625
Zr: 0.483 0.483 0.627

***

Entry 4:
Here is a relaxed structure of BeCo2Br2 from Alexandria. Energies are from GGA-PBE.

## Properties
Total DFT energy (no corrections) = -3.302 eV/atom
Space-group type = P4/mbm
M_tot = 4.72 μB per cell
Polymorph energy (0 for the lowest one) = 240.4 meV per atom
E_form (uncorrected) = 0.955 eV/atom

Unit cell a=6.490 b=6.490 c=3.877 alpha=90.00 beta=90.00 gamma=90.00
Positions (direct):
Be: 0.000 0.000 0.000
Be: 0.500 0.500 0.000
Co: 0.130 0.630 0.500
Co: 0.630 0.870 0.500
Co: 0.870 0.370 0.500
Co: 0.370 0.130 0.500
Br: 0.308 0.808 0.000
Br: 0.808 0.692 0.000
Br: 0.692 0.192 0.000
Br: 0.192 0.308 0.000